PmCoGe | GGA-PBE | optimized geometry

Cell lengths 3.9863, 4.1418, 4.1418 Å; angles 120.00, 90.00, 90.00 degrees
Last column: nearest neighbours and their distance in Å.
Atoms (fractional coordinates):
Co: 0.1665 0.0000 0.0000  3 Ge 2.39
Ge: 0.1667 0.3333 0.6667  3 Co 2.39
Pm: 0.6668 0.6667 0.3333  6 Co 3.11, 6 Ge 3.11

Computed properties:
ΔE_f = -530.2 meV/atom
offset from the most stable computed form = 0.089 eV/atom
V = 19.7 Å³ per atom
raw total energy = -18.06 eV per cell